(1)
The following is a PBE-GGA calculation of a geometry-optimized Sc4Cu2Hg structure, from the Alexandria database.

The value obtained for the excess energy over the best structure of this formula in the dataset is 0.000 eV per formula unit. As for the calculated formation energy: -15.8 kJ per mole of atoms.

The space group is R-3m (No. 166, hexagonal axes) and the conventional cell measures 4.6944, 4.6944 and 22.3082 Å, with angles of 90.00, 90.00 and 120.00 degrees. The asymmetric unit holds Sc at (0.0000, 0.0000, 0.1117), Sc at (0.0000, 0.0000, 0.3669), Cu at (0.0000, 0.0000, 0.2451) and Hg at (0.0000, 0.0000, 0.5000).

=====

(2)
The following is a PBE-GGA calculation of a geometry-optimized Sn2Bi2Pb7 structure, from the Alexandria database.

The value obtained for the excess energy over the best structure of this formula in the dataset is 0.577 eV per formula unit. As for the calculated formation energy: 9.8 kJ per mole of atoms.

The space group is C2/m (No. 12) and the conventional cell measures 9.3340, 11.2713 and 7.2785 Å, with angles of 90.00, 107.27 and 90.00 degrees. The asymmetric unit holds Sn at (0.1453, 0.0000, 0.1647), Bi at (0.0000, 0.2846, 0.0000), Pb at (0.0000, 0.0000, 0.5000), Pb at (0.1081, 0.5000, 0.3355) and Pb at (0.1706, 0.2609, 0.6774).

=====

(3)
The following is a PBE-GGA calculation of a geometry-optimized MgAg2Bi structure, from the Alexandria database.

As for the calculated formation energy: -7.5 kJ per mole of atoms.

The space group is P4/mmm (No. 123) and the conventional cell measures 3.5462, 3.5462 and 6.9355 Å, with angles of 90.00, 90.00 and 90.00 degrees. The asymmetric unit holds Mg at (0.0000, 0.0000, 0.0000), Ag at (0.5000, 0.5000, 0.2085) and Bi at (0.0000, 0.0000, 0.5000).

=====

(4)
The following is a PBE-GGA calculation of a geometry-optimized LaNbPb3 structure, from the Alexandria database.

The value obtained for the excess energy over the best structure of this formula in the dataset is 0.000 eV per formula unit. As for the calculated formation energy: 17.8 kJ per mole of atoms.

The space group is Pm-3m (No. 221) and the conventional cell measures 5.4767, 5.4767 and 5.4767 Å, with angles of 90.00, 90.00 and 90.00 degrees. The asymmetric unit holds La at (0.0000, 0.0000, 0.0000), Nb at (0.5000, 0.5000, 0.5000) and Pb at (0.0000, 0.5000, 0.5000).

=====

| no. | mass density (g cm⁻³) | density of states at the Fermi level (states/eV per cell) |
| --- | --- | --- |
| 1 | 5.94 | 22.07 |
| 2 | 9.56 | 12.50 |
| 3 | 8.55 | 1.39 |
| 4 | 8.63 | 4.49 |